--- a ---
Density functional theory data (GGA-PBE) for a geometry-optimized Ba2AgAs2 structure.

Fermi-level density of states   7.385 states/eV/cell
Volume   347.3 Å³ per cell

```
Ba2AgAs2
1.0
6.489 0.000 0.000
0.000 6.489 0.000
0.000 0.000 8.248
Ba Ag As
4 2 4
direct
0.000 0.500 0.250
0.000 0.500 0.750
0.500 0.000 0.250
0.500 0.000 0.750
0.000 0.000 0.000
0.500 0.500 0.500
0.000 0.000 0.325
0.000 0.000 0.675
0.500 0.500 0.175
0.500 0.500 0.825
```

--- b ---
Density functional theory data (GGA-PBE) for a geometry-optimized Ba2AgAs2 structure.

Fermi-level density of states   5.018 states/eV/cell
Volume   311.5 Å³ per cell

```
Ba2AgAs2
1.0
8.156 0.000 0.000
0.000 8.156 0.000
0.000 0.000 4.684
Ba Ag As
4 2 4
direct
0.185 0.315 0.000
0.315 0.815 0.000
0.685 0.185 0.000
0.815 0.685 0.000
0.000 0.000 0.500
0.500 0.500 0.500
0.109 0.609 0.500
0.391 0.109 0.500
0.609 0.891 0.500
0.891 0.391 0.500
```

Which of them is the most stable? Correct choice: b.

--- a ---
Density functional theory data (GGA-PBE) for a geometry-optimized Ba2AgAs2 structure.

Fermi-level density of states   7.123 states/eV/cell
Volume   325.1 Å³ per cell

```
Ba2AgAs2
1.0
4.098 0.000 0.000
0.000 4.098 0.000
0.000 0.000 19.359
Ba Ag As
4 2 4
direct
0.000 0.000 0.115
0.000 0.000 0.885
0.500 0.500 0.385
0.500 0.500 0.615
0.000 0.000 0.500
0.500 0.500 0.000
0.000 0.500 0.250
0.000 0.500 0.750
0.500 0.000 0.250
0.500 0.000 0.750
```

--- b ---
Density functional theory data (GGA-PBE) for a geometry-optimized Ba2AgAs2 structure.

Fermi-level density of states   0.487 states/eV/cell
Volume   309.4 Å³ per cell

```
Ba2AgAs2
1.0
6.092 -2.312 0.000
6.092 2.312 0.000
-4.112 0.000 10.985
Ba Ag As
4 2 4
direct
0.086 0.086 0.408
0.304 0.304 0.853
0.696 0.696 0.147
0.914 0.914 0.592
0.423 0.423 0.180
0.577 0.577 0.820
0.045 0.045 0.917
0.341 0.341 0.360
0.659 0.659 0.640
0.955 0.955 0.083
```

Which of them is the most stable? Correct choice: b.